Material: ZrP2Br2O6
Method: DFT, PBE
State: relaxed Values from VASP.

Quantum ESPRESSO input file:
```
&SYSTEM
  ibrav = 0, nat = 11, ntyp = 4
/
ATOMIC_SPECIES
Zr 91.22 Zr.upf
P 30.97 P.upf
Br 79.90 Br.upf
O 16.00 O.upf
CELL_PARAMETERS angstrom
5.757 0.000 0.000
-2.879 4.986 0.000
0.000 0.000 5.702
ATOMIC_POSITIONS angstrom
Zr 0.000 0.000 0.000
P 0.000 3.324 4.286
P 2.879 1.662 1.416
Br 0.000 3.324 2.147
Br 2.879 1.662 3.555
O -0.018 1.851 4.701
O -1.267 4.076 4.701
O 1.594 0.941 1.001
O 1.285 4.045 4.701
O 4.146 0.910 1.001
O 2.896 3.135 1.001
```

Total energy in eV/atom: -6.7712
ρ in g/cm³: 4.1
Crystal system: trigonal

=====

Material: PaBr2O
Method: DFT, PBE
State: relaxed Values from VASP.

Quantum ESPRESSO input file:
```
&SYSTEM
  ibrav = 0, nat = 8, ntyp = 3
/
ATOMIC_SPECIES
Pa 231.04 Pa.upf
Br 79.90 Br.upf
O 16.00 O.upf
CELL_PARAMETERS angstrom
7.159 -2.145 0.000
7.159 2.145 0.000
-2.880 0.000 8.242
ATOMIC_POSITIONS angstrom
Pa 13.600 0.000 2.043
Pa -2.162 0.000 6.199
Br 0.423 0.000 4.768
Br 1.895 0.000 0.668
Br 9.544 0.000 7.575
Br 11.016 0.000 3.474
O 6.448 0.000 2.022
O 4.991 0.000 6.220
```

Total energy in eV/atom: -6.2701
ρ in g/cm³: 5.3
Crystal system: monoclinic

=====

Material: TbPb2BrO6
Method: DFT, PBE
State: relaxed Values from VASP.

Quantum ESPRESSO input file:
```
&SYSTEM
  ibrav = 0, nat = 10, ntyp = 4
/
ATOMIC_SPECIES
Tb 158.93 Tb.upf
Pb 207.20 Pb.upf
Br 79.90 Br.upf
O 16.00 O.upf
CELL_PARAMETERS angstrom
-2.910 2.910 4.213
2.910 -2.910 4.213
2.910 2.910 -4.213
ATOMIC_POSITIONS angstrom
Tb 0.000 0.000 0.000
Pb 2.910 0.000 2.107
Pb 0.000 2.910 2.107
Br 0.000 0.000 4.213
O 3.939 1.205 0.000
O 0.000 0.000 2.213
O 1.205 1.881 0.000
O 1.705 1.029 4.213
O 0.000 0.000 6.214
O -1.029 1.705 4.213
```

Total energy in eV/atom: -5.4493
ρ in g/cm³: 8.7
Crystal system: tetragonal

=====

Material: PdBr2O6
Method: DFT, PBE
State: relaxed Values from VASP.

Quantum ESPRESSO input file:
```
&SYSTEM
  ibrav = 0, nat = 9, ntyp = 3
/
ATOMIC_SPECIES
Pd 106.42 Pd.upf
Br 79.90 Br.upf
O 16.00 O.upf
CELL_PARAMETERS angstrom
3.797 0.000 0.000
-0.692 6.312 0.000
-0.031 -2.783 5.881
ATOMIC_POSITIONS angstrom
Pd 0.000 0.000 0.000
Br 1.104 5.082 1.223
Br 1.971 -1.554 4.658
O -0.404 3.371 2.209
O 0.002 1.081 4.503
O 0.235 1.356 1.457
O 2.839 2.173 4.423
O 3.072 2.448 1.378
O 3.479 0.158 3.671
```

Total energy in eV/atom: -4.0863
ρ in g/cm³: 4.3
Crystal system: triclinic

=====

Material: Pm2Br3O
Method: DFT, PBE
State: relaxed Values from VASP.

Quantum ESPRESSO input file:
```
&SYSTEM
  ibrav = 0, nat = 12, ntyp = 3
/
ATOMIC_SPECIES
Pm 145.00 Pm.upf
Br 79.90 Br.upf
O 16.00 O.upf
CELL_PARAMETERS angstrom
8.992 -2.031 0.000
8.992 2.031 0.000
-6.265 0.000 9.518
ATOMIC_POSITIONS angstrom
Pm -1.513 0.000 4.345
Pm 5.222 0.000 2.083
Pm 6.497 0.000 7.435
Pm 13.232 0.000 5.173
Br 2.932 0.000 0.103
Br 2.633 0.000 3.631
Br 3.526 0.000 7.272
Br 8.193 0.000 2.246
Br 9.085 0.000 5.888
Br 8.786 0.000 9.415
O -2.724 0.000 6.347
O 14.443 0.000 3.171
```

Total energy in eV/atom: -5.5423
ρ in g/cm³: 5.2
Crystal system: monoclinic

=====

Material: Pr2Br3O
Method: DFT, PBE
State: relaxed Values from VASP.

Quantum ESPRESSO input file:
```
&SYSTEM
  ibrav = 0, nat = 12, ntyp = 3
/
ATOMIC_SPECIES
Pr 140.91 Pr.upf
Br 79.90 Br.upf
O 16.00 O.upf
CELL_PARAMETERS angstrom
8.838 -2.070 0.000
8.838 2.070 0.000
-6.028 0.000 9.663
ATOMIC_POSITIONS angstrom
Pr -1.356 0.000 4.400
Pr 5.163 0.000 2.103
Pr 6.485 0.000 7.560
Pr 13.004 0.000 5.263
Br 2.843 0.000 0.102
Br 2.557 0.000 3.679
Br 3.483 0.000 7.399
Br 8.165 0.000 2.264
Br 9.092 0.000 5.984
Br 8.806 0.000 9.561
O -2.593 0.000 6.442
O 14.242 0.000 3.221
```

Total energy in eV/atom: -5.5353
ρ in g/cm³: 5.0
Crystal system: monoclinic

=====

Material: PrSmBr2O2
Method: DFT, PBE
State: relaxed Values from VASP.

Quantum ESPRESSO input file:
```
&SYSTEM
  ibrav = 0, nat = 6, ntyp = 4
/
ATOMIC_SPECIES
Pr 140.91 Pr.upf
Sm 150.36 Sm.upf
Br 79.90 Br.upf
O 16.00 O.upf
CELL_PARAMETERS angstrom
3.958 0.000 0.000
0.000 3.958 0.000
0.000 0.000 8.240
ATOMIC_POSITIONS angstrom
Pr 0.000 0.000 0.000
Sm 1.979 1.979 2.427
Br 0.000 0.000 4.049
Br 1.979 1.979 6.609
O 0.000 1.979 1.257
O 1.979 0.000 1.257
```

Total energy in eV/atom: -6.6474
ρ in g/cm³: 6.2
Crystal system: tetragonal

=====

Material: TbPrBr2O2
Method: DFT, PBE
State: relaxed Values from VASP.

Quantum ESPRESSO input file:
```
&SYSTEM
  ibrav = 0, nat = 6, ntyp = 4
/
ATOMIC_SPECIES
Tb 158.93 Tb.upf
Pr 140.91 Pr.upf
Br 79.90 Br.upf
O 16.00 O.upf
CELL_PARAMETERS angstrom
3.922 0.000 0.000
0.000 3.922 0.000
0.000 0.000 8.416
ATOMIC_POSITIONS angstrom
Tb 0.000 0.000 0.000
Pr 1.961 1.961 6.031
Br 0.000 0.000 4.400
Br 1.961 1.961 1.635
O 0.000 1.961 7.301
O 1.961 0.000 7.301
```

Total energy in eV/atom: -6.6488
ρ in g/cm³: 6.3
Crystal system: tetragonal

=====

Material: PrYBr2O2
Method: DFT, PBE
State: relaxed Values from VASP.

Quantum ESPRESSO input file:
```
&SYSTEM
  ibrav = 0, nat = 6, ntyp = 4
/
ATOMIC_SPECIES
Pr 140.91 Pr.upf
Y 88.91 Y.upf
Br 79.90 Br.upf
O 16.00 O.upf
CELL_PARAMETERS angstrom
3.920 0.000 0.000
0.000 3.920 0.000
0.000 0.000 8.455
ATOMIC_POSITIONS angstrom
Pr 0.000 0.000 0.000
Y 1.960 1.960 2.377
Br 0.000 0.000 4.029
Br 1.960 1.960 6.826
O 0.000 1.960 1.274
O 1.960 0.000 1.274
```

Total energy in eV/atom: -6.9365
ρ in g/cm³: 5.4
Crystal system: tetragonal

=====

Material: PtBrO
Method: DFT, PBE
State: relaxed Values from VASP.

Quantum ESPRESSO input file:
```
&SYSTEM
  ibrav = 0, nat = 6, ntyp = 3
/
ATOMIC_SPECIES
Pt 195.08 Pt.upf
Br 79.90 Br.upf
O 16.00 O.upf
CELL_PARAMETERS angstrom
-1.539 1.539 10.932
1.539 -1.539 10.932
1.539 1.539 -10.932
ATOMIC_POSITIONS angstrom
Pt 0.000 0.000 1.236
Pt 0.000 0.000 20.629
Br 0.000 0.000 3.689
Br 0.000 0.000 18.175
O 0.000 0.000 6.943
O 0.000 0.000 14.921
```

Total energy in eV/atom: -3.3515
ρ in g/cm³: 9.3
Crystal system: tetragonal

=====

Material: RbRe2Br6O2
Method: DFT, PBE
State: relaxed Values from VASP.

Quantum ESPRESSO input file:
```
&SYSTEM
  ibrav = 0, nat = 11, ntyp = 4
/
ATOMIC_SPECIES
Rb 85.47 Rb.upf
Re 186.21 Re.upf
Br 79.90 Br.upf
O 16.00 O.upf
CELL_PARAMETERS angstrom
-1.894 5.571 6.742
1.894 -5.571 6.742
1.894 5.571 -6.742
ATOMIC_POSITIONS angstrom
Rb 0.000 0.000 0.000
Re 1.894 4.105 0.000
Re 0.000 1.466 6.742
Br 1.894 2.228 -1.745
Br 1.894 2.228 1.745
Br 0.000 0.000 4.681
Br 0.000 0.000 8.803
Br 0.000 3.343 4.997
Br 0.000 3.343 8.487
O 0.000 4.106 0.000
O 0.000 7.035 0.000
```

Total energy in eV/atom: -5.0179
ρ in g/cm³: 5.7
Crystal system: orthorhombic

=====

Material: RbTaBr2O8
Method: DFT, PBE
State: relaxed Values from VASP.

Quantum ESPRESSO input file:
```
&SYSTEM
  ibrav = 0, nat = 12, ntyp = 4
/
ATOMIC_SPECIES
Rb 85.47 Rb.upf
Ta 180.95 Ta.upf
Br 79.90 Br.upf
O 16.00 O.upf
CELL_PARAMETERS angstrom
4.130 -2.693 0.000
4.130 2.693 0.000
-0.562 0.000 8.429
ATOMIC_POSITIONS angstrom
Rb 0.000 0.000 0.000
Ta -0.281 0.000 4.215
Br 2.716 0.000 2.271
Br 4.984 0.000 6.158
O 1.599 0.000 4.119
O 3.862 1.299 2.682
O 3.837 1.299 5.747
O 2.886 0.000 0.601
O 4.814 0.000 7.829
O 3.862 -1.299 2.682
O 3.837 -1.299 5.747
O 6.100 0.000 4.310
```

Total energy in eV/atom: -5.3752
ρ in g/cm³: 4.9
Crystal system: monoclinic

=====

Material: ZnSb2Br2O3
Method: DFT, PBE
State: relaxed Values from VASP.

Quantum ESPRESSO input file:
```
&SYSTEM
  ibrav = 0, nat = 16, ntyp = 4
/
ATOMIC_SPECIES
Zn 65.41 Zn.upf
Sb 121.76 Sb.upf
Br 79.90 Br.upf
O 16.00 O.upf
CELL_PARAMETERS angstrom
5.281 0.000 0.000
1.096 7.777 0.000
1.002 0.085 7.988
ATOMIC_POSITIONS angstrom
Zn 0.913 3.893 2.289
Zn 6.467 3.970 5.700
Sb 3.881 5.538 7.758
Sb 3.598 5.578 4.204
Sb 3.781 2.284 3.785
Sb 3.498 2.324 0.230
Br 1.804 1.625 6.290
Br 1.799 0.913 2.377
Br 5.580 6.949 5.611
Br 5.575 6.238 1.698
O 2.865 5.077 6.050
O 2.402 3.814 3.715
O 2.109 3.762 0.673
O 5.270 4.100 7.315
O 4.977 4.048 4.273
O 4.514 2.786 1.939
```

Total energy in eV/atom: -4.6221
ρ in g/cm³: 5.2
Crystal system: triclinic

=====

Material: Sm4Br4O3
Method: DFT, PBE
State: relaxed Values from VASP.

Quantum ESPRESSO input file:
```
&SYSTEM
  ibrav = 0, nat = 11, ntyp = 3
/
ATOMIC_SPECIES
Sm 150.36 Sm.upf
Br 79.90 Br.upf
O 16.00 O.upf
CELL_PARAMETERS angstrom
3.880 0.000 0.000
0.000 7.785 0.000
0.000 0.000 8.820
ATOMIC_POSITIONS angstrom
Sm 0.000 0.000 0.000
Sm 0.000 3.892 0.077
Sm 1.940 1.941 6.412
Sm 1.940 5.844 6.412
Br 0.000 0.000 4.778
Br 0.000 3.892 4.852
Br 1.940 1.936 1.646
Br 1.940 5.849 1.646
O 0.000 2.017 7.635
O 0.000 5.768 7.635
O 1.940 0.000 7.633
```

Total energy in eV/atom: -6.2705
ρ in g/cm³: 6.0
Crystal system: orthorhombic

=====

Material: Sm4Br6O
Method: DFT, PBE
State: relaxed Values from VASP.

Quantum ESPRESSO input file:
```
&SYSTEM
  ibrav = 0, nat = 22, ntyp = 3
/
ATOMIC_SPECIES
Sm 150.36 Sm.upf
Br 79.90 Br.upf
O 16.00 O.upf
CELL_PARAMETERS angstrom
9.388 0.000 0.000
-4.694 8.130 0.000
0.000 0.000 7.870
ATOMIC_POSITIONS angstrom
Sm 0.000 3.183 0.000
Sm -1.937 6.538 0.000
Sm 0.000 5.420 2.538
Sm 2.756 1.591 3.935
Sm 1.937 6.538 0.000
Sm 4.694 2.710 6.473
Sm 6.631 1.591 3.935
Sm 4.694 4.947 3.935
Br -2.083 4.218 5.434
Br 0.000 2.188 2.934
Br -2.799 7.036 2.934
Br 1.895 1.094 6.869
Br 2.083 4.218 5.434
Br 0.000 7.825 5.434
Br 4.694 0.305 1.499
Br 2.611 3.912 1.499
Br 2.799 7.036 2.934
Br 7.493 1.094 6.869
Br 4.694 5.942 6.869
Br 6.776 3.912 1.499
O 0.000 5.420 0.139
O 4.694 2.710 4.074
```

Total energy in eV/atom: -4.7655
ρ in g/cm³: 6.1
Crystal system: hexagonal

=====

Material: TbSmBr2O2
Method: DFT, PBE
State: relaxed Values from VASP.

Quantum ESPRESSO input file:
```
&SYSTEM
  ibrav = 0, nat = 6, ntyp = 4
/
ATOMIC_SPECIES
Tb 158.93 Tb.upf
Sm 150.36 Sm.upf
Br 79.90 Br.upf
O 16.00 O.upf
CELL_PARAMETERS angstrom
3.876 0.000 0.000
0.000 3.876 0.000
0.000 0.000 8.590
ATOMIC_POSITIONS angstrom
Tb 0.000 0.000 0.000
Sm 1.938 1.938 2.340
Br 0.000 0.000 3.961
Br 1.938 1.938 6.933
O 0.000 1.938 1.119
O 1.938 0.000 1.119
```

Total energy in eV/atom: -6.6699
ρ in g/cm³: 6.4
Crystal system: tetragonal

=====

Material: Sr2TbBrO6
Method: DFT, PBE
State: relaxed Values from VASP.

Quantum ESPRESSO input file:
```
&SYSTEM
  ibrav = 0, nat = 10, ntyp = 4
/
ATOMIC_SPECIES
Sr 87.62 Sr.upf
Tb 158.93 Tb.upf
Br 79.90 Br.upf
O 16.00 O.upf
CELL_PARAMETERS angstrom
-2.894 2.894 4.185
2.894 -2.894 4.185
2.894 2.894 -4.185
ATOMIC_POSITIONS angstrom
Sr 2.894 0.000 2.093
Sr 0.000 2.894 2.093
Tb 0.000 0.000 0.000
Br 0.000 0.000 4.185
O 3.909 1.180 0.000
O 0.000 0.000 2.197
O 1.180 1.880 0.000
O 1.714 1.014 4.185
O 0.000 0.000 6.173
O -1.014 1.714 4.185
```

Total energy in eV/atom: -5.8630
ρ in g/cm³: 6.0
Crystal system: tetragonal

=====

Material: Sr2Zn3Br2O4
Method: DFT, PBE
State: relaxed Values from VASP.

Quantum ESPRESSO input file:
```
&SYSTEM
  ibrav = 0, nat = 11, ntyp = 4
/
ATOMIC_SPECIES
Sr 87.62 Sr.upf
Zn 65.41 Zn.upf
Br 79.90 Br.upf
O 16.00 O.upf
CELL_PARAMETERS angstrom
-2.834 2.834 6.378
2.834 -2.834 6.378
2.834 2.834 -6.378
ATOMIC_POSITIONS angstrom
Sr 0.000 0.000 1.678
Sr 0.000 0.000 11.077
Zn 2.834 0.000 0.000
Zn 0.000 2.834 0.000
Zn 0.000 0.000 6.378
Br 2.834 0.000 3.189
Br 0.000 2.834 3.189
O 1.399 1.399 0.000
O 1.435 -1.435 6.378
O -1.435 1.435 6.378
O 1.435 1.435 6.378
```

Total energy in eV/atom: -4.5151
ρ in g/cm³: 4.8
Crystal system: tetragonal

=====

Material: TaBrO2
Method: DFT, PBE
State: relaxed Values from VASP.

Quantum ESPRESSO input file:
```
&SYSTEM
  ibrav = 0, nat = 16, ntyp = 3
/
ATOMIC_SPECIES
Ta 180.95 Ta.upf
Br 79.90 Br.upf
O 16.00 O.upf
CELL_PARAMETERS angstrom
19.289 0.000 0.000
0.000 3.717 0.000
0.000 0.000 3.843
ATOMIC_POSITIONS angstrom
Ta 1.436 0.929 0.001
Ta 8.208 2.788 1.923
Ta 11.081 0.929 1.920
Ta 17.853 2.788 3.842
Br 3.491 2.788 0.006
Br 6.154 0.929 1.927
Br 13.135 2.788 1.916
Br 15.798 0.929 3.837
O 0.644 2.788 0.009
O 1.627 0.929 1.925
O 8.018 2.788 0.004
O 9.001 0.929 1.931
O 10.288 2.788 1.912
O 11.271 0.929 3.839
O 17.662 2.788 1.918
O 18.645 0.929 3.834
```

Total energy in eV/atom: -8.1214
ρ in g/cm³: 7.1
Crystal system: orthorhombic

=====

Material: Zr2Te4Br2O11
Method: DFT, PBE
State: relaxed Values from VASP.

Quantum ESPRESSO input file:
```
&SYSTEM
  ibrav = 0, nat = 38, ntyp = 4
/
ATOMIC_SPECIES
Zr 91.22 Zr.upf
Te 127.60 Te.upf
Br 79.90 Br.upf
O 16.00 O.upf
CELL_PARAMETERS angstrom
7.812 0.000 0.000
-1.541 9.298 0.000
-2.953 -4.407 9.017
ATOMIC_POSITIONS angstrom
Zr -0.836 1.941 3.401
Zr 2.421 0.566 0.975
Zr 0.897 4.326 8.041
Zr 4.154 2.950 5.616
Te -0.283 2.524 0.030
Te -0.395 -2.998 6.675
Te -1.112 1.144 7.034
Te 1.237 5.108 4.287
Te 2.081 -0.216 4.729
Te 4.430 3.748 1.983
Te 3.713 7.890 2.341
Te 3.601 2.368 8.986
Br -1.643 6.473 3.328
Br 1.606 5.210 1.026
Br 1.712 -0.318 7.990
Br 4.961 -1.582 5.688
O -2.869 1.926 7.459
O -2.682 4.693 6.163
O -1.717 1.893 5.363
O -0.261 8.257 0.484
O 0.512 1.649 1.599
O -1.472 -2.699 8.301
O 0.211 3.623 3.801
O 0.444 0.712 4.592
O 0.633 -3.803 8.101
O -0.055 2.603 7.442
O 2.652 -0.272 2.929
O 0.666 5.163 6.087
O 3.373 2.288 1.575
O 2.685 8.694 0.915
O 2.874 4.179 4.424
O 3.107 1.269 5.215
O 4.790 7.590 0.715
O 2.806 3.242 7.418
O 3.579 -3.366 8.532
O 5.035 2.999 3.654
O 6.000 0.198 2.853
O 6.187 2.966 1.558
```

Total energy in eV/atom: -6.2899
ρ in g/cm³: 5.2
Crystal system: triclinic